(1)
The following is a PBE-GGA calculation of a geometry-optimized LiThPd6 structure, from Alexandria.

```
LiThPd6
1.0
4.1988 0.0000 0.0000
0.0000 4.1988 0.0000
0.0000 0.0000 7.6549
Li Th Pd
1 1 6
Cartesian
0.0000 0.0000 3.8275
0.0000 0.0000 0.0000
2.0994 2.0994 0.0000
2.0994 2.0994 3.8275
2.0994 0.0000 2.0391
2.0994 0.0000 5.6158
0.0000 2.0994 2.0391
0.0000 2.0994 5.6158
```

Output
magnetic moment	0.0	μB per formula unit
calculated total energy	-0.209	Ha/atom
calculated formation energy	-0.622	eV/atom

***

(2)
The following is a PBE-GGA calculation of a geometry-optimized Ac8GaPt3Br4 structure, from Alexandria.

```
Ac8GaPt3Br4
1.0
-2.8874 3.0795 7.9850
-8.1535 -5.0332 -1.0072
7.8338 -4.4616 -0.5550
Ac Ga Pt Br
8 1 3 4
Cartesian
1.1389 -7.0687 0.6684
-2.6486 -4.9119 0.9366
0.9667 -3.0552 1.5278
-0.2570 -5.5800 4.5286
-2.9502 -0.8353 1.8942
-4.1739 -3.3601 4.8950
-0.5586 -1.5034 5.4862
-4.3460 0.6534 5.7544
-4.0768 -2.5166 -0.5036
-5.5205 -0.9768 3.4889
-1.6036 -3.2076 3.2114
-0.1599 -4.7474 -0.7811
-1.4437 1.5398 3.9925
2.4732 -0.6911 3.7150
0.0000 0.0000 0.0000
3.9169 -2.2308 -0.2775
```

Output
magnetic moment	0.0	μB per formula unit
calculated total energy	-0.183	Ha/atom
raw formation energy	-1198	meV per atom

***

(3)
The following is a PBE-GGA calculation of a geometry-optimized LaPmMgRu structure, from Alexandria.

```
LaPmMgRu
1.0
5.2106 0.0000 0.0000
2.6053 4.5125 0.0000
2.6053 1.5042 4.2545
Ru Mg La Pm
1 1 1 1
Cartesian
7.8159 4.5125 3.1908
2.6053 1.5042 1.0636
5.2106 3.0084 2.1272
0.0000 0.0000 0.0000
```

Output
magnetic moment	0.0	μB per formula unit
calculated total energy	-0.191	Ha/atom
calculated formation energy	-0.066	eV/atom

***

(4)
The following is a PBE-GGA calculation of a geometry-optimized Rb2BaSF6 structure, from Alexandria.

```
Rb2BaSF6
1.0
-5.5609 -2.5828 1.3926
-0.9102 -1.3185 -6.0800
-0.5172 -7.3870 -1.5718
S Ba Rb F
1 1 2 6
Cartesian
-3.2355 -1.9507 -2.3437
0.0000 0.0000 0.0000
-4.6568 -5.9602 -1.2615
-2.3315 -5.3281 -4.9978
-1.6424 -5.1368 -1.8913
-5.3459 -6.1515 -4.3679
-1.8451 -1.1124 -1.3365
-4.6260 -2.7889 -3.3509
-4.2348 -2.2223 -0.7381
-2.2362 -1.6790 -3.9494
```

Output
magnetic moment	0.0	μB per formula unit
calculated total energy	-0.160	Ha/atom
raw formation energy	-2442	meV per atom

***

(5)
The following is a PBE-GGA calculation of a geometry-optimized SrTlCr2Cd structure, from Alexandria.

```
SrTlCr2Cd
1.0
5.2708 0.0000 0.0000
0.0000 6.0244 0.0000
0.0000 0.0000 5.2708
Sr Tl Cr Cd
1 1 2 1
Cartesian
0.0000 3.0122 0.0000
2.6354 3.0122 2.6354
0.0000 0.0000 2.6354
2.6354 0.0000 0.0000
0.0000 0.0000 0.0000
```

Output
magnetic moment	9.4	μB per formula unit
calculated total energy	-0.145	Ha/atom
calculated formation energy	0.896	eV/atom

***

(6)
The following is a PBE-GGA calculation of a geometry-optimized Y2ZrCu structure, from Alexandria.

```
Y2ZrCu
1.0
-0.4729 -2.1934 -2.5630
2.6107 1.4003 -1.6816
5.2296 -5.3800 3.6392
Y Cu Zr
2 1 1
Cartesian
5.0650 -5.2106 3.5247
2.7795 -2.8594 1.9342
4.9911 -4.4315 0.6071
2.3763 -1.7416 -1.2125
```

Output
magnetic moment	0.0	μB per formula unit
calculated total energy	-0.237	Ha/atom
calculated formation energy	-0.063	eV/atom